A relaxed PuHgPdRu crystal. Source: Alexandria via LeMat-Bulk, functional PBE.

Cell lengths 4.742, 4.742, 4.742 Å; angles 60.00, 60.00, 60.00 degrees
Positions (direct):
Pu  0.000  0.000  0.000
Hg  0.500  0.500  0.500
Pd  0.250  0.250  0.250
Ru  0.750  0.750  0.750

Summary:
The total moment comes out at 4.33 μB per cell.

***

A relaxed Tl4CrPt crystal. Source: Alexandria via LeMat-Bulk, functional PBE.

Cell lengths 6.117, 6.117, 6.117 Å; angles 60.00, 60.00, 60.00 degrees
Positions (direct):
Tl  0.125  0.125  0.125
Tl  0.125  0.125  0.624
Tl  0.125  0.624  0.125
Tl  0.624  0.125  0.125
Cr  0.750  0.750  0.750
Pt  0.500  0.500  0.500

Summary:
The total moment comes out at 4.83 μB per cell.

***

Here are the calculated formation enthalpy at 0 K numbers, same order: -0.109, 0.758 (eV per atom).